1.
PBE-GGA CeSiB, optimized geometry; crystal system = tetragonal; E_form (uncorrected) = 0.141 eV per atom; DOS at the Fermi energy = 4.14 states/eV per cell
1.0
-1.514 1.514 5.055
1.514 -1.514 5.055
1.514 1.514 -5.055
Ce Si B
1 1 1
Direct
0.000 0.000 0.000
0.721 0.721 0.000
0.292 0.292 0.000



2.
PBE-GGA K2RuRh, optimized geometry; energy of formation from the pure elements = 1035 meV per atom; crystal system = orthorhombic; DOS at the Fermi energy = 3.54 states/eV per cell
1.0
1.480 -2.431 0.000
1.480 2.431 0.000
0.000 0.000 11.222
K Ru Rh
2 1 1
Direct
0.000 0.000 0.245
0.000 0.000 0.755
0.500 0.500 0.500
0.500 0.500 0.000



3.
PBE-GGA K2Na2Au, optimized geometry; energy of formation from the pure elements = -84 meV per atom; crystal system = trigonal; DOS at the Fermi energy = 2.88 states/eV per cell
1.0
2.504 1.446 10.690
-2.504 1.446 10.690
0.000 -2.891 10.690
K Na Au
2 2 1
Direct
0.068 0.068 0.068
0.932 0.932 0.932
0.191 0.191 0.191
0.809 0.809 0.809
0.500 0.500 0.500



4.
PBE-GGA InHgBr2, optimized geometry; crystal system = monoclinic; E_form (uncorrected) = -0.334 eV per atom; DOS at the Fermi energy = 1.71 states/eV per cell
1.0
4.021 -3.988 0.000
4.021 3.988 0.000
-1.141 0.000 3.904
In Hg Br
1 1 2
Direct
0.000 0.000 0.000
0.500 0.500 0.000
0.000 0.500 0.500
0.500 0.000 0.500



5.
PBE-GGA InIr2Pt, optimized geometry; energy of formation from the pure elements = 26 meV per atom; crystal system = tetragonal; DOS at the Fermi energy = 4.67 states/eV per cell
1.0
-2.018 2.018 3.947
2.018 -2.018 3.947
2.018 2.018 -3.947
In Ir Pt
1 2 1
Direct
0.000 0.000 0.000
0.250 0.750 0.500
0.500 0.500 0.000
0.750 0.250 0.500



6.
PBE-GGA KBOsBr2, optimized geometry; crystal system = tetragonal; E_form (uncorrected) = 2.172 eV per atom; DOS at the Fermi energy = 5.63 states/eV per cell
1.0
5.958 0.000 0.000
0.000 5.958 0.000
0.000 0.000 6.183
K B Os Br
1 1 1 2
Direct
0.000 0.000 0.000
0.500 0.500 0.500
0.000 0.000 0.500
0.000 0.500 0.000
0.500 0.000 0.000